First-principles (PBE-GGA) data for Al3Tl6Cl14 after structural relaxation, as listed in the Alexandria database.

Computed properties:
* ΔE_f (raw): -1.223 eV per atom
* density of states at the Fermi level: 0.332 states/eV per atom
* ρ: 3.9 g/cm³

a b c (Å): 11.6691 11.6691 6.4845
angles (deg): 90.00 90.00 120.00
Space group P3 (No. 143)
One atom of each set of equivalent atoms:
Al  0.0000  0.0000  0.0000 (multiplicity 1)
Al  0.3333  0.6667  0.1204 (multiplicity 1)
Al  0.6667  0.3333  0.4516 (multiplicity 1)
Tl  0.1202  0.3227  0.4369 (multiplicity 3)
Tl  0.4418  0.4237  0.8820 (multiplicity 3)
Cl  0.0000  0.0000  0.6676 (multiplicity 1)
Cl  0.1429  0.5990  0.3282 (multiplicity 3)
Cl  0.1986  0.1263  0.1154 (multiplicity 3)
Cl  0.2043  0.4767  0.9165 (multiplicity 3)
Cl  0.4707  0.1961  0.5681 (multiplicity 3)
Cl  0.6667  0.3333  0.1190 (multiplicity 1)